VASP calculation (GGA-PBE) on a relaxed Ni4AsH crystal.

Computed properties:
* SG: C2/c (15)
* relative energy among the computed polymorphs: 0.026 eV per atom
* calculated density: 8.1 g/cm3
* magnetization: 0.00 μB per atom

Cell lengths 5.850, 4.466, 5.978 Å; angles 106.71, 115.06, 100.13 degrees
Fractional positions:
Ni1 0.362 0.186 0.913
Ni2 0.752 0.458 0.392
H1 0.922 0.172 0.344
Ni3 0.860 0.066 0.608
Ni4 0.051 0.727 0.913
Ni5 0.638 0.814 0.087
Ni6 0.248 0.542 0.608
As1 0.384 0.634 0.269
As2 0.616 0.366 0.731
Ni7 0.140 0.934 0.392
H2 0.078 0.828 0.656
Ni8 0.949 0.273 0.087

VASP calculation (GGA-PBE) on a relaxed Ni3AsH crystal.

Computed properties:
* SG: Pm-3m (221)
* relative energy among the computed polymorphs: 1.187 eV per atom
* calculated density: 5.0 g/cm3
* magnetization: 0.00 μB per atom

Cell lengths 4.366, 4.366, 4.366 Å; angles 90.00, 90.00, 90.00 degrees
Fractional positions:
As1 0.000 0.000 0.000
H1 0.500 0.500 0.500
Ni1 0.000 0.000 0.500
Ni2 0.000 0.500 0.000
Ni3 0.500 0.000 0.000

VASP calculation (GGA-PBE) on a relaxed Ni6As3H crystal.

Computed properties:
* SG: Cmc2_1 (36)
* energy: -5.32 eV per atom
* calculated density: 7.8 g/cm3
* magnetization: 0.00 μB per atom

Cell lengths 5.422, 7.009, 7.009 Å; angles 112.07, 90.00, 90.00 degrees
Fractional positions:
As1 0.518 0.295 0.072
Ni1 0.723 0.254 0.746
Ni2 0.223 0.747 0.253
H1 0.500 0.833 0.167
As2 0.018 0.072 0.295
Ni3 0.177 0.035 0.965
As3 0.518 0.928 0.705
Ni4 0.688 0.301 0.381
Ni5 0.656 0.938 0.395
As4 0.860 0.621 0.379
As5 0.018 0.705 0.928
H2 0.000 0.167 0.833
As6 0.360 0.379 0.621
Ni6 0.188 0.381 0.301
Ni7 0.688 0.619 0.699
Ni8 0.656 0.605 0.062
Ni9 0.677 0.965 0.035
Ni10 0.188 0.699 0.619
Ni11 0.156 0.395 0.938
Ni12 0.156 0.062 0.605

VASP calculation (GGA-PBE) on a relaxed NpNiAsH crystal.

Computed properties:
* SG: P3m1 (156)
* energy: -7.22 eV per atom
* calculated density: 11.0 g/cm3
* magnetization: 0.89 μB per atom

Cell lengths 4.071, 4.072, 3.916 Å; angles 90.01, 90.00, 120.00 degrees
Fractional positions:
H1 0.239 0.477 0.287
Ni1 0.239 0.477 0.859
As1 0.905 0.811 0.784
Np1 0.572 0.144 0.309

VASP calculation (GGA-PBE) on a relaxed Np2Ni4As3H2 crystal.

Computed properties:
* SG: I4/mmm (139)
* energy: -6.53 eV per atom
* calculated density: 11.0 g/cm3
* magnetization: 0.20 μB per atom

Cell lengths 3.563, 3.563, 11.449 Å; angles 98.95, 98.95, 90.00 degrees
Fractional positions:
Ni1 0.424 0.924 0.847
Ni2 0.924 0.424 0.847
Np1 0.274 0.274 0.549
As1 0.000 0.000 0.000
Np2 0.726 0.726 0.451
As2 0.152 0.152 0.304
H1 0.428 0.428 0.855
Ni3 0.076 0.576 0.153
Ni4 0.576 0.076 0.153
As3 0.848 0.848 0.696
H2 0.572 0.572 0.145

VASP calculation (GGA-PBE) on a relaxed PaNiAsH crystal.

Computed properties:
* SG: P3m1 (156)
* energy: -6.59 eV per atom
* calculated density: 10.8 g/cm3
* magnetization: 0.00 μB per atom

Cell lengths 4.053, 4.053, 3.954 Å; angles 90.00, 90.00, 120.00 degrees
Fractional positions:
H1 0.239 0.477 0.280
As1 0.905 0.810 0.802
Pa1 0.572 0.144 0.313
Ni1 0.239 0.477 0.843

calculated density of number 3 (Ni6As3H)? 7.8 g/cm3

Repeat the fifth record exactly.
VASP calculation (GGA-PBE) on a relaxed Np2Ni4As3H2 crystal.

Computed properties:
* SG: I4/mmm (139)
* energy: -6.53 eV per atom
* calculated density: 11.0 g/cm3
* magnetization: 0.20 μB per atom

Cell lengths 3.563, 3.563, 11.449 Å; angles 98.95, 98.95, 90.00 degrees
Fractional positions:
Ni1 0.424 0.924 0.847
Ni2 0.924 0.424 0.847
Np1 0.274 0.274 0.549
As1 0.000 0.000 0.000
Np2 0.726 0.726 0.451
As2 0.152 0.152 0.304
H1 0.428 0.428 0.855
Ni3 0.076 0.576 0.153
Ni4 0.576 0.076 0.153
As3 0.848 0.848 0.696
H2 0.572 0.572 0.145